Record 1
LiNi6Sn2: relaxed, GGA-PBE.

Properties
As for the magnetization: 0.39 μB/f.u. The calculation puts the final energy at -44.861 eV/cell. As for the space group: P-3m1. As for the energy relative to the elements: -24 kJ/mol of formula units.

a b c (Å): 5.442 5.050 5.050
angles (deg): 59.99 89.97 89.97
Last column: magnetic moment on the atom in μB.
Sites, in units of the cell vectors:
Li  0.000  0.000  0.000  0.00
Ni  0.327  0.347  0.827  0.07
Ni  0.327  0.827  0.827  0.07
Ni  0.327  0.827  0.347  0.07
Ni  0.673  0.653  0.173  0.07
Ni  0.673  0.173  0.173  0.07
Ni  0.673  0.173  0.653  0.07
Sn  0.834  0.667  0.667  0.00
Sn  0.166  0.333  0.333  0.00


Record 2
Li2Ni2Sn: relaxed, GGA-PBE.

Properties
As for the magnetization: 0.00 μB/f.u. The calculation puts the final energy at -20.459 eV/cell. As for the space group: C2/m. As for the energy relative to the elements: -103 kJ/mol of formula units.

a b c (Å): 6.580 4.223 4.223
angles (deg): 59.86 50.19 50.20
Sites, in units of the cell vectors:
Li  0.385  0.411  0.410
Li  0.615  0.589  0.590
Ni  0.790  0.806  0.806
Ni  0.210  0.194  0.194
Sn  0.000  0.000  0.000


Record 3
LiNi5Sn4: relaxed, GGA-PBE.

Properties
As for the magnetization: 0.00 μB/f.u. The calculation puts the final energy at -97.396 eV/cell. As for the space group: Immm. As for the energy relative to the elements: -180 kJ/mol of formula units.

a b c (Å): 3.843 8.285 9.951
angles (deg): 90.00 90.00 90.00
Sites, in units of the cell vectors:
Li  0.750  0.000  0.000
Li  0.250  0.500  0.500
Ni  0.250  0.715  0.666
Ni  0.250  0.285  0.666
Ni  0.750  0.500  0.000
Ni  0.250  0.715  0.334
Ni  0.250  0.285  0.334
Ni  0.750  0.785  0.166
Ni  0.750  0.215  0.166
Ni  0.250  0.000  0.500
Ni  0.750  0.215  0.834
Ni  0.750  0.785  0.834
Sn  0.250  0.000  0.769
Sn  0.250  0.706  0.000
Sn  0.250  0.294  0.000
Sn  0.250  0.000  0.231
Sn  0.750  0.500  0.269
Sn  0.750  0.794  0.500
Sn  0.750  0.206  0.500
Sn  0.750  0.500  0.731


Record 4
LiNi2Sn8: relaxed, GGA-PBE.

Properties
As for the magnetization: 0.00 μB/f.u. The calculation puts the final energy at -46.379 eV/cell. As for the space group: C2/m. As for the energy relative to the elements: -85 kJ/mol of formula units.

a b c (Å): 5.179 7.578 7.578
angles (deg): 118.62 91.07 91.07
Sites, in units of the cell vectors:
Li  0.500  0.000  0.000
Ni  0.000  0.330  0.670
Ni  0.000  0.670  0.330
Sn  0.863  0.962  0.679
Sn  0.863  0.679  0.962
Sn  0.255  0.628  0.628
Sn  0.500  0.718  0.282
Sn  0.500  0.282  0.718
Sn  0.745  0.372  0.372
Sn  0.137  0.321  0.038
Sn  0.137  0.038  0.321


Record 5
Sr2LiNiSn2: relaxed, GGA-PBE.

Properties
As for the magnetization: 0.00 μB/f.u. The calculation puts the final energy at -43.756 eV/cell. As for the space group: Ibam. As for the energy relative to the elements: -271 kJ/mol of formula units.

a b c (Å): 6.720 6.660 8.642
angles (deg): 112.67 112.88 90.00
Sites, in units of the cell vectors:
Sr  0.406  0.160  0.320
Sr  0.594  0.840  0.680
Sr  0.086  0.340  0.680
Sr  0.914  0.660  0.320
Li  0.000  0.750  0.000
Li  0.000  0.250  0.000
Ni  0.500  0.750  0.000
Ni  0.500  0.250  0.000
Sn  0.820  0.093  0.186
Sn  0.366  0.593  0.186
Sn  0.634  0.407  0.814
Sn  0.180  0.907  0.814


Record 6
Sr2LiNiSn: relaxed, GGA-PBE.

Properties
As for the magnetization: 0.00 μB/f.u. The calculation puts the final energy at -16.042 eV/cell. As for the space group: P4/mmm. As for the energy relative to the elements: -95 kJ/mol of formula units.

a b c (Å): 5.799 5.799 4.851
angles (deg): 90.00 90.00 90.00
Sites, in units of the cell vectors:
Sr  0.000  0.500  0.000
Sr  0.500  0.000  0.000
Li  0.500  0.500  0.500
Sn  0.000  0.000  0.500
Ni  0.000  0.000  0.000